# 1
# LiLa2Pt, relaxed, DFT PBE
data_LiLa2Pt
_space_group_name_H-M_alt 'P 1 2/m 1'
_space_group_IT_number 10
_cell_length_a 3.7425
_cell_length_b 3.7742
_cell_length_c 7.7515
_cell_angle_alpha 90.00
_cell_angle_beta 90.17
_cell_angle_gamma 90.00
loop_
_space_group_symop_operation_xyz
'x,y,z'
'-x,-y,-z'
'-x,y,-z'
'x,-y,z'
loop_
_atom_site_label
_atom_site_type_symbol
_atom_site_fract_x
_atom_site_fract_y
_atom_site_fract_z
Li1 Li 0.0000 0.0000 0.0000
La1 La 0.4976 0.5000 0.7154
Pt1 Pt 0.0000 0.0000 0.5000
# E_form: -0.522 eV/atom



# 2
# Li2LaPt, relaxed, DFT PBE
data_Li2LaPt
_space_group_name_H-M_alt 'R -3 m'
_space_group_IT_number 166
_space_group_name_Hall '-R 3 2"'
_cell_length_a 3.0387
_cell_length_b 3.0387
_cell_length_c 30.4881
_cell_angle_alpha 90.00
_cell_angle_beta 90.00
_cell_angle_gamma 120.00
loop_
_atom_site_label
_atom_site_type_symbol
_atom_site_fract_x
_atom_site_fract_y
_atom_site_fract_z
Li1 Li 0.0000 0.0000 0.2307
La1 La 0.0000 0.0000 0.0000
Pt1 Pt 0.0000 0.0000 0.5000
# E above lowest polymorph: 0.515 eV/atom
# E_form: -0.037 eV/atom



# 3
# Li4LaPt, relaxed, DFT PBE
data_Li4LaPt
_space_group_name_H-M_alt 'F -4 3 m'
_space_group_IT_number 216
_space_group_name_Hall 'F -4 2 3'
_cell_length_a 7.5175
_cell_length_b 7.5175
_cell_length_c 7.5175
_cell_angle_alpha 90.00
_cell_angle_beta 90.00
_cell_angle_gamma 90.00
loop_
_atom_site_label
_atom_site_type_symbol
_atom_site_fract_x
_atom_site_fract_y
_atom_site_fract_z
Li1 Li 0.1215 0.1215 0.1215
La1 La 0.0000 0.0000 0.5000
Pt1 Pt 0.2500 0.2500 0.7500
# E_form: -0.214 eV/atom



# 4
# LiLa3Pt, relaxed, DFT PBE
data_LiLa3Pt
_space_group_name_H-M_alt 'P m -3 m'
_space_group_IT_number 221
_space_group_name_Hall '-P 4 2 3'
_cell_length_a 5.7635
_cell_length_b 5.7635
_cell_length_c 5.7635
_cell_angle_alpha 90.00
_cell_angle_beta 90.00
_cell_angle_gamma 90.00
loop_
_atom_site_label
_atom_site_type_symbol
_atom_site_fract_x
_atom_site_fract_y
_atom_site_fract_z
Li1 Li 0.0000 0.0000 0.0000
La1 La 0.0000 0.5000 0.5000
Pt1 Pt 0.5000 0.5000 0.5000
# E above lowest polymorph: 0.000 eV/atom
# E_form: -0.290 eV/atom



# 5
# Li7La3Pt4, relaxed, DFT PBE
data_Li7La3Pt4
_space_group_name_H-M_alt 'C 1 2/m 1'
_space_group_IT_number 12
_cell_length_a 16.0655
_cell_length_b 4.1691
_cell_length_c 10.3036
_cell_angle_alpha 90.00
_cell_angle_beta 125.69
_cell_angle_gamma 90.00
loop_
_space_group_symop_operation_xyz
'x,y,z'
'-x,-y,-z'
'-x,y,-z'
'x,-y,z'
'x+1/2,y+1/2,z'
'-x+1/2,-y+1/2,-z'
'-x+1/2,y+1/2,-z'
'x+1/2,-y+1/2,z'
loop_
_atom_site_label
_atom_site_type_symbol
_atom_site_fract_x
_atom_site_fract_y
_atom_site_fract_z
Li1 Li 0.0000 0.0000 0.0000
Li2 Li 0.0189 0.5000 0.7999
Li3 Li 0.1682 0.0000 0.9279
Li4 Li 0.1731 0.5000 0.5007
La1 La 0.0000 0.0000 0.5000
La2 La 0.2026 0.5000 0.2342
Pt1 Pt 0.1054 0.0000 0.3145
Pt2 Pt 0.1595 0.5000 0.7472
# E_form: -0.642 eV/atom



# 6
# Li2LaPt, relaxed, DFT PBE
data_Li2LaPt
_space_group_name_H-M_alt 'P 1 m 1'
_space_group_IT_number 6
_cell_length_a 3.9398
_cell_length_b 3.9994
_cell_length_c 6.1281
_cell_angle_alpha 90.00
_cell_angle_beta 108.33
_cell_angle_gamma 90.00
loop_
_space_group_symop_operation_xyz
'x,y,z'
'x,-y,z'
loop_
_atom_site_label
_atom_site_type_symbol
_atom_site_fract_x
_atom_site_fract_y
_atom_site_fract_z
Li1 Li 0.0000 0.0000 0.0000
Li2 Li 0.4568 0.5000 0.9162
La1 La 0.7198 0.0000 0.4506
Pt1 Pt 0.1349 0.5000 0.2764
# E above lowest polymorph: 0.038 eV/atom
# E_form: -0.514 eV/atom



Which of these has the highest E_form?
number 2



Which of these has the lowest E_form?
Li7La3Pt4



Among the records above, which one has the highest E_form?
number 2